# 1
ReAuBr2 PBE optimized geometry; N(E_F) = 1.79 states/eV per cell; relative energy among the computed polymorphs = 50 meV per atom; mass density = 8.71 g/cm3; formation energy without anion corrections = 0.40 eV per atom; symmetry = C2/m, No. 12; V = 104 Å³/cell
1.0
7.608 0.121 -0.217
6.957 3.082 -0.217
1.678 0.369 4.531
Re Au Br
1 1 2
direct
0.750 0.750 0.750
0.250 0.250 0.250
0.102 0.102 0.899
0.398 0.398 0.601

# 2
ReAuBr2 PBE optimized geometry; N(E_F) = 2.11 states/eV per cell; relative energy among the computed polymorphs = 766 meV per atom; mass density = 10.26 g/cm3; formation energy without anion corrections = 1.11 eV per atom; symmetry = C2/m, No. 12; V = 88 Å³/cell
1.0
-2.090 -3.285 4.809
5.584 1.304 -1.114
0.983 2.779 1.424
Re Au Br
1 1 2
direct
0.000 0.500 0.500
0.500 0.500 0.000
0.000 0.000 0.000
0.500 0.000 0.500

# 3
ReAuBr2 PBE optimized geometry; N(E_F) = 2.14 states/eV per cell; relative energy among the computed polymorphs = 550 meV per atom; mass density = 11.06 g/cm3; formation energy without anion corrections = 0.90 eV per atom; symmetry = P2/m, No. 10; V = 82 Å³/cell
1.0
4.314 0.000 0.000
0.000 3.034 -0.005
0.000 -1.884 6.230
Re Au Br
1 1 2
direct
0.500 0.250 0.250
0.500 0.750 0.750
0.000 0.200 0.019
0.000 0.300 0.481

# 4
ReAuBr2 PBE optimized geometry; N(E_F) = 4.56 states/eV per cell; relative energy among the computed polymorphs = 353 meV per atom; mass density = 9.87 g/cm3; formation energy without anion corrections = 0.70 eV per atom; symmetry = Cmmm, No. 65; V = 91 Å³/cell
1.0
3.184 0.002 0.000
-1.773 2.644 0.000
0.000 0.000 10.845
Re Au Br
1 1 2
direct
0.500 0.500 0.250
0.500 0.500 0.750
0.000 0.000 0.061
0.000 0.000 0.439

# 5
ReAuBr PBE optimized geometry; N(E_F) = 2.70 states/eV per cell; relative energy among the computed polymorphs = 168 meV per atom; mass density = 12.94 g/cm3; formation energy without anion corrections = 0.90 eV per atom; symmetry = I4mm, No. 107; V = 59 Å³/cell
1.0
6.768 -0.007 0.000
5.404 4.074 0.000
-6.086 -2.033 2.152
Re Au Br
1 1 1
direct
0.673 0.673 0.000
0.033 0.033 0.000
0.294 0.294 0.000

# 6
ReAuBr2 PBE optimized geometry; N(E_F) = 3.11 states/eV per cell; relative energy among the computed polymorphs = 333 meV per atom; mass density = 10.77 g/cm3; formation energy without anion corrections = 0.68 eV per atom; symmetry = P4mm, No. 99; V = 84 Å³/cell
1.0
-0.489 -2.105 2.237
3.065 -0.502 0.198
0.630 6.214 5.987
Re Au Br
1 1 2
direct
0.000 0.000 0.500
0.500 0.500 0.709
0.000 0.000 0.963
0.500 0.500 0.328

# 7
ReAuBr2 PBE optimized geometry; N(E_F) = 3.00 states/eV per cell; relative energy among the computed polymorphs = 296 meV per atom; mass density = 10.10 g/cm3; formation energy without anion corrections = 0.65 eV per atom; symmetry = Cmm2, No. 35; V = 89 Å³/cell
1.0
-1.635 -2.583 1.105
3.232 0.169 -0.308
0.725 3.655 9.616
Re Au Br
1 1 2
direct
0.000 0.000 0.508
0.500 0.500 0.726
0.000 0.000 0.957
0.500 0.500 0.310

# 8
ReAuBr6 PBE optimized geometry; N(E_F) = 6.40 states/eV per cell; mass density = 5.33 g/cm3; formation energy without anion corrections = -0.15 eV per atom; symmetry = C2/m, No. 12; V = 269 Å³/cell
1.0
-3.381 -5.635 -2.037
4.283 -0.735 5.334
-5.151 4.317 2.487
Re Au Br
1 1 6
direct
0.500 0.500 0.500
0.000 0.000 0.000
0.586 0.894 0.743
0.894 0.586 0.743
0.106 0.414 0.257
0.414 0.106 0.257
0.298 0.298 0.701
0.702 0.702 0.299